LiAu2Se SCAN PBEsol geometry; total magnetic moment = 0.00 Bohr magnetons per cell; energy = -162.11 eV per cell; formation energy (no corrections) = -0.333 eV/atom; relative energy among the computed polymorphs = 0.000 eV/f.u.; space-group type = No. 38
1.0
2.9290 0.0000 0.0000
0.0000 3.9103 0.0000
-1.4645 0.0000 5.9842
Au Li Se
2 1 1
Cartesian
1.4645 0.0000 3.5059
0.0000 1.9552 2.1066
1.4645 0.0000 0.6079
1.4645 1.9552 5.4501